Entry 1:
Material: H2PtAu2
Method: DFT, PBE-GGA
State: optimized geometry

Unit cell a=7.5088 b=7.5088 c=2.7654 alpha=90.00 beta=90.00 gamma=90.00
Last column: nearest neighbours and their distance in Å.
Sites, in units of the cell vectors:
1 H 0.1154 0.6154 0.5000  2 Au 1.73
2 H 0.6154 0.8846 0.5000  2 Au 1.73
3 H 0.8846 0.3846 0.5000  2 Au 1.73
4 H 0.3846 0.1154 0.5000  2 Au 1.73
5 Au 0.2134 0.7134 0.0000  2 H 1.73
6 Au 0.7134 0.7866 0.0000  2 H 1.73
7 Au 0.7866 0.2866 0.0000  2 H 1.73
8 Au 0.2866 0.2134 0.0000  2 H 1.73
9 Pt 0.0000 0.0000 0.0000  4 Au 2.68, 2 Pt 2.77
10 Pt 0.5000 0.5000 0.0000  4 Au 2.68, 2 Pt 2.77

Calculated values
Energy above the most stable polymorph in this dataset ... 379 meV/atom

Entry 2:
Material: H3Pt2Au
Method: DFT, PBE-GGA
State: optimized geometry

Unit cell a=2.8572 b=9.4642 c=6.8838 alpha=130.86 beta=90.07 gamma=97.79
Last column: nearest neighbours and their distance in Å.
Sites, in units of the cell vectors:
1 H 0.1751 0.3250 0.4602  1 Pt 1.74
2 H 0.9868 0.0074 0.7794  2 Pt 1.79-1.81, 1 Au 1.89
3 H 0.6280 0.2323 0.6153  3 Pt 1.83-1.90
4 H 0.3720 0.7677 0.3847  3 Pt 1.83-1.90
5 H 0.0132 0.9926 0.2206  2 Pt 1.79-1.81, 1 Au 1.89
6 H 0.8249 0.6750 0.5398  1 Pt 1.74
7 Pt 0.4299 0.8704 0.7319  4 H 1.79-1.95
8 Pt 0.5701 0.1296 0.2681  4 H 1.79-1.95
9 Pt 0.7989 0.6040 0.2337  3 H 1.74-1.84
10 Pt 0.2011 0.3960 0.7663  3 H 1.74-1.84
11 Au 0.8507 0.7264 0.9489  1 H 1.89
12 Au 0.1493 0.2736 0.0511  1 H 1.89

Calculated values
Uncorrected energy ... -4.16 eV/atom

Entry 3:
Material: HPtAu3
Method: DFT, PBE-GGA
State: optimized geometry

Unit cell a=5.1314 b=5.1314 c=5.1314 alpha=90.00 beta=90.00 gamma=90.00
Last column: nearest neighbours and their distance in Å.
Sites, in units of the cell vectors:
1 H 0.5000 0.5000 0.5000  12 Au 3.63
2 Au 0.0000 0.5000 0.0000  2 Pt 2.57
3 Au 0.0000 0.0000 0.5000  2 Pt 2.57
4 Au 0.5000 0.0000 0.0000  2 Pt 2.57
5 Pt 0.0000 0.0000 0.0000  6 Au 2.57

Calculated values
Energy above the most stable polymorph in this dataset ... 979 meV/atom

Entry 4:
Material: H3PtAu
Method: DFT, PBE-GGA
State: optimized geometry

Unit cell a=3.6210 b=3.6210 c=3.6210 alpha=90.00 beta=90.00 gamma=90.00
Last column: nearest neighbours and their distance in Å.
Sites, in units of the cell vectors:
1 H 0.0000 0.5000 0.0000  2 Au 1.81
2 H 0.0000 0.0000 0.5000  2 Au 1.81
3 H 0.5000 0.0000 0.0000  2 Au 1.81
4 Au 0.0000 0.0000 0.0000  6 H 1.81
5 Pt 0.5000 0.5000 0.5000  12 H 2.56

Calculated values
Energy above the most stable polymorph in this dataset ... 576 meV/atom

Entry 5:
Material: H3PtAu
Method: DFT, PBE-GGA
State: optimized geometry

Unit cell a=3.6034 b=3.6034 c=3.6034 alpha=90.00 beta=90.00 gamma=90.00
Last column: nearest neighbours and their distance in Å.
Sites, in units of the cell vectors:
1 H 0.0000 0.5000 0.0000  2 Pt 1.80
2 H 0.0000 0.0000 0.5000  2 Pt 1.80
3 H 0.5000 0.0000 0.0000  2 Pt 1.80
4 Au 0.5000 0.5000 0.5000  12 H 2.55
5 Pt 0.0000 0.0000 0.0000  6 H 1.80

Calculated values
Energy above the most stable polymorph in this dataset ... 178 meV/atom

Entry 6:
Material: HPt3Au
Method: DFT, PBE-GGA
State: optimized geometry

Unit cell a=5.0036 b=5.0036 c=5.0036 alpha=90.00 beta=90.00 gamma=90.00
Last column: nearest neighbours and their distance in Å.
Sites, in units of the cell vectors:
1 H 0.5000 0.5000 0.5000  12 Pt 3.54
2 Au 0.0000 0.0000 0.0000  6 Pt 2.50
3 Pt 0.0000 0.5000 0.0000  2 Au 2.50
4 Pt 0.0000 0.0000 0.5000  2 Au 2.50
5 Pt 0.5000 0.0000 0.0000  2 Au 2.50

Calculated values
Energy above the most stable polymorph in this dataset ... 1847 meV/atom

| no. | total magnetic moment (Bohr magnetons per cell) |
| --- | --- |
| 1 | 0.00 |
| 2 | 0.00 |
| 3 | 0.83 |
| 4 | 0.00 |
| 5 | 0.00 |
| 6 | 0.76 |